No. 1
## Te2WN2 (PBEsol)

Data for an optimized crystal structure of Te2WN2.

abc: 3.9415 3.9415 6.7326
angles: 90.00 90.00 90.00
Closest atoms and distances in Å follow each position.
Fractional positions:
1 Te 0.0000 0.0000 0.0000  4 N 1.97
2 Te 0.0000 0.0000 0.5000  4 W 2.79
3 W 0.5000 0.5000 0.5000  4 Te 2.79
4 N 0.0000 0.5000 0.0000  2 Te 1.97
5 N 0.5000 0.0000 0.0000  2 Te 1.97

Computed properties:
**ΔE_f (raw)**: 2.05 eV per atom
**Energy above the most stable polymorph in this dataset**: 1.495 eV per atom
**Space group**: P4/mmm



No. 2
## SiSnPd5 (PBEsol)

Data for an optimized crystal structure of SiSnPd5.

abc: 3.9499 3.9499 6.8775
angles: 90.00 90.00 90.00
Closest atoms and distances in Å follow each position.
Fractional positions:
1 Si 0.0000 0.0000 0.5000  8 Pd 2.43
2 Sn 0.5000 0.5000 0.0000  12 Pd 2.79-2.83
3 Pd 0.0000 0.5000 0.2946  2 Si 2.43
4 Pd 0.0000 0.5000 0.7054  2 Si 2.43
5 Pd 0.5000 0.0000 0.2946  2 Si 2.43
6 Pd 0.5000 0.0000 0.7054  2 Si 2.43
7 Pd 0.0000 0.0000 0.0000  4 Sn 2.79, 8 Pd 2.83

Computed properties:
**ΔE_f (raw)**: -0.65 eV per atom
**Space group**: P4/mmm



No. 3
## Co2Ge3Te3 (PBEsol)

Data for an optimized crystal structure of Co2Ge3Te3.

abc: 8.6359 8.6359 8.6359
angles: 89.98 89.98 89.98
Closest atoms and distances in Å follow each position.
Fractional positions:
1 Co 0.2448 0.2448 0.2448  3 Ge 2.34, 3 Te 2.48
2 Co 0.7552 0.7552 0.7552  3 Ge 2.34, 3 Te 2.48
3 Co 0.2493 0.7478 0.7463  3 Ge 2.31-2.33, 3 Te 2.49-2.51
4 Co 0.7478 0.7463 0.2493  3 Ge 2.31-2.33, 3 Te 2.49-2.51
5 Co 0.7463 0.2493 0.7478  3 Ge 2.31-2.33, 3 Te 2.49-2.51
6 Co 0.7507 0.2522 0.2537  3 Ge 2.31-2.33, 3 Te 2.49-2.51
7 Co 0.2522 0.2537 0.7507  3 Ge 2.31-2.33, 3 Te 2.49-2.51
8 Co 0.2537 0.7507 0.2522  3 Ge 2.31-2.33, 3 Te 2.49-2.51
9 Ge 0.9962 0.1679 0.3195  2 Co 2.31-2.34
10 Ge 0.1679 0.3195 0.9962  2 Co 2.31-2.34
11 Ge 0.3195 0.9962 0.1679  2 Co 2.31-2.34
12 Ge 0.0038 0.8321 0.6805  2 Co 2.31-2.34
13 Ge 0.8321 0.6805 0.0038  2 Co 2.31-2.34
14 Ge 0.6805 0.0038 0.8321  2 Co 2.31-2.34
15 Ge 0.5010 0.3313 0.8193  2 Co 2.32-2.33
16 Ge 0.3313 0.8193 0.5010  2 Co 2.32-2.33
17 Ge 0.8193 0.5010 0.3313  2 Co 2.32-2.33
18 Ge 0.4990 0.6687 0.1807  2 Co 2.32-2.33
19 Ge 0.6687 0.1807 0.4990  2 Co 2.32-2.33
20 Ge 0.1807 0.4990 0.6687  2 Co 2.32-2.33
21 Te 0.9990 0.8510 0.3444  2 Co 2.49, 1 Ge 2.74
22 Te 0.8510 0.3444 0.9990  2 Co 2.49, 1 Ge 2.74
23 Te 0.3444 0.9990 0.8510  2 Co 2.49, 1 Ge 2.74
24 Te 0.0010 0.1490 0.6556  2 Co 2.49, 1 Ge 2.74
25 Te 0.1490 0.6556 0.0010  2 Co 2.49, 1 Ge 2.74
26 Te 0.6556 0.0010 0.1490  2 Co 2.49, 1 Ge 2.74
27 Te 0.5046 0.6483 0.8449  2 Co 2.48-2.51, 1 Ge 2.75
28 Te 0.6483 0.8449 0.5046  2 Co 2.48-2.51, 1 Ge 2.75
29 Te 0.8449 0.5046 0.6483  2 Co 2.48-2.51, 1 Ge 2.75
30 Te 0.4954 0.3517 0.1551  2 Co 2.48-2.51, 1 Ge 2.75
31 Te 0.3517 0.1551 0.4954  2 Co 2.48-2.51, 1 Ge 2.75
32 Te 0.1551 0.4954 0.3517  2 Co 2.48-2.51, 1 Ge 2.75

Computed properties:
**ΔE_f (raw)**: -0.27 eV per atom
**Space group**: R-3